No. 1
A plane-wave DFT calculation with PBE was carried out for a relaxed Pm2HoSb crystal.

Cell and atoms, written as POSCAR:
```
Pm2HoSb
1.0
3.537 0.000 0.000
-1.768 3.063 0.000
0.000 0.000 36.482
Pm Ho Sb
6 3 3
direct
0.000 0.000 0.086
0.000 0.000 0.914
0.333 0.667 0.580
0.333 0.667 0.753
0.667 0.333 0.247
0.667 0.333 0.420
0.000 0.000 0.500
0.333 0.667 0.167
0.667 0.333 0.833
0.000 0.000 0.000
0.333 0.667 0.667
0.667 0.333 0.333
```

Its energy above the most stable polymorph in this dataset is 0.5656 eV per atom. The calculation puts the formation energy from raw total energies at 0.0162 eV per atom. Its crystal system is trigonal.

---

No. 2
A plane-wave DFT calculation with PBE was carried out for a relaxed MgMo2 crystal.

Cell and atoms, written as POSCAR:
```
MgMo2
1.0
10.938 0.000 0.000
0.000 2.664 0.000
-1.645 0.000 6.887
Mg Mo
4 8
direct
0.000 0.000 0.000
0.164 0.500 0.334
0.500 0.500 0.000
0.664 0.000 0.334
0.091 0.500 0.692
0.267 0.000 0.021
0.332 0.000 0.677
0.424 0.500 0.368
0.591 0.000 0.692
0.767 0.500 0.021
0.832 0.500 0.677
0.924 0.000 0.368
```

Its energy above the most stable polymorph in this dataset is 0.2245 eV per atom. Its crystal system is monoclinic. As for the calculated formation energy: 0.409 eV per atom.

---

No. 3
A plane-wave DFT calculation with PBE was carried out for a relaxed GaGeMo2N crystal.

Cell and atoms, written as POSCAR:
```
GaGeMo2N
1.0
4.833 0.000 0.000
0.000 4.833 0.000
0.000 0.000 3.543
Ga Ge Mo N
1 1 2 1
direct
0.000 0.000 0.000
0.500 0.500 0.500
0.000 0.500 0.000
0.500 0.000 0.000
0.000 0.000 0.500
```

The calculation puts the formation energy from raw total energies at 1.5019 eV per atom. Its crystal system is tetragonal.

---

No. 4
A plane-wave DFT calculation with PBE was carried out for a relaxed Si4IrW crystal.

Cell and atoms, written as POSCAR:
```
Si4IrW
1.0
0.000 3.432 3.432
3.432 0.000 3.432
3.432 3.432 0.000
Si Ir W
4 1 1
direct
0.125 0.125 0.125
0.125 0.125 0.625
0.125 0.625 0.125
0.625 0.125 0.125
0.500 0.500 0.500
0.750 0.750 0.750
```

The calculation puts the formation energy from raw total energies at 0.5041 eV per atom. Its crystal system is cubic.

---

Ordered raw total energy results: -4.53 -7.34 -6.02 -6.75; unit eV per atom.